Below is CdCuAg2 after structural relaxation, with properties calculated at the PBE level.

Structure (POSCAR):
```
CdCuAg2
1.0
0.0000 3.2652 3.2652
3.2652 0.0000 3.2652
3.2652 3.2652 0.0000
Cd Cu Ag
1 1 2
direct
0.0000 0.0000 0.0000
0.2500 0.2500 0.2500
0.5000 0.5000 0.5000
0.7500 0.7500 0.7500
```

## Properties
As for the energy: -2.6123 eV/atom. The formation enthalpy at 0 K comes out at 0.07 eV/atom. The crystal system is cubic. As for the total moment: 0.0 μB/f.u. As for the density of states at the Fermi level: 1.31 states/eV/cell. Its density is 9.34 g/cm3.



Below is CdCu2Ag after structural relaxation, with properties calculated at the PBE level.

Structure (POSCAR):
```
CdCu2Ag
1.0
4.8334 -1.4767 0.0000
4.8334 1.4767 0.0000
-1.4236 0.0000 4.4184
Cd Cu Ag
1 2 1
direct
0.0000 0.0000 0.0000
0.4667 0.4667 0.4779
0.7560 0.7560 0.1989
0.2208 0.2208 0.6717
```

## Properties
As for the energy: -2.9137 eV/atom. The formation enthalpy at 0 K comes out at 0.08 eV/atom. The crystal system is monoclinic. As for the total moment: 0.0 μB/f.u. As for the density of states at the Fermi level: 1.06 states/eV/cell. Its density is 9.15 g/cm3.



Below is Cd4CuAg3 after structural relaxation, with properties calculated at the PBE level.

Structure (POSCAR):
```
Cd4CuAg3
1.0
3.0777 0.0000 0.0000
0.0000 3.0777 0.0000
0.0000 0.0000 15.8721
Cd Cu Ag
4 1 3
direct
0.0000 0.0000 0.1103
0.0000 0.0000 0.3700
0.0000 0.0000 0.6300
0.0000 0.0000 0.8897
0.5000 0.5000 0.0000
0.5000 0.5000 0.2402
0.5000 0.5000 0.5000
0.5000 0.5000 0.7598
```

## Properties
As for the energy: -2.0638 eV/atom. The formation enthalpy at 0 K comes out at -0.03 eV/atom. The crystal system is tetragonal. As for the total moment: 0.0 μB/f.u. As for the density of states at the Fermi level: 1.55 states/eV/cell. Its density is 9.24 g/cm3.



Below is CdCuAg2 after structural relaxation, with properties calculated at the PBE level.

Structure (POSCAR):
```
CdCuAg2
1.0
2.8992 -4.0745 0.0000
2.8992 4.0745 0.0000
0.0000 0.0000 2.9353
Cd Cu Ag
1 1 2
direct
0.0000 0.0000 0.0000
0.5000 0.5000 0.0000
0.0000 0.5000 0.5000
0.5000 0.0000 0.5000
```

## Properties
As for the energy: -2.6024 eV/atom. The formation enthalpy at 0 K comes out at 0.08 eV/atom. The crystal system is orthorhombic. As for the total moment: 0.0 μB/f.u. As for the density of states at the Fermi level: 1.33 states/eV/cell. Its density is 9.38 g/cm3.



Below is CdCuAg2 after structural relaxation, with properties calculated at the PBE level.

Structure (POSCAR):
```
CdCuAg2
1.0
3.1119 0.0000 0.0000
0.0000 3.1119 0.0000
0.0000 0.0000 7.1161
Cd Cu Ag
1 1 2
direct
0.0000 0.0000 0.0000
0.5000 0.5000 0.2369
0.0000 0.0000 0.4552
0.5000 0.5000 0.7208
```

## Properties
As for the energy: -2.6293 eV/atom. The formation enthalpy at 0 K comes out at 0.05 eV/atom. The crystal system is tetragonal. As for the total moment: 0.0 μB/f.u. As for the density of states at the Fermi level: 1.20 states/eV/cell. Its density is 9.44 g/cm3.



Below is CdCuAg2 after structural relaxation, with properties calculated at the PBE level.

Structure (POSCAR):
```
CdCuAg2
1.0
2.9265 0.0000 0.0000
0.0000 4.3709 0.0000
-1.4205 0.0000 5.4502
Cd Cu Ag
1 1 2
direct
0.0000 0.0000 0.0000
0.0000 0.0000 0.5000
0.4195 0.5000 0.7344
0.5805 0.5000 0.2656
```

## Properties
As for the energy: -2.6052 eV/atom. The formation enthalpy at 0 K comes out at 0.07 eV/atom. The crystal system is monoclinic. As for the total moment: 0.0 μB/f.u. As for the density of states at the Fermi level: 1.06 states/eV/cell. Its density is 9.33 g/cm3.



Below is CdCuAg2 after structural relaxation, with properties calculated at the PBE level.

Structure (POSCAR):
```
CdCuAg2
1.0
-1.5527 2.3646 4.7165
1.5527 -2.3646 4.7165
1.5527 2.3646 -4.7165
Cd Cu Ag
1 1 2
direct
0.0000 0.0000 0.0000
0.5000 0.5000 0.0000
0.2682 0.7682 0.5000
0.7318 0.2318 0.5000
```

## Properties
As for the energy: -2.6317 eV/atom. The formation enthalpy at 0 K comes out at 0.05 eV/atom. The crystal system is orthorhombic. As for the total moment: 0.0 μB/f.u. As for the density of states at the Fermi level: 0.87 states/eV/cell. Its density is 9.39 g/cm3.



Below is CdCu2Ag after structural relaxation, with properties calculated at the PBE level.

Structure (POSCAR):
```
CdCu2Ag
1.0
4.5944 -1.4480 0.0000
4.5944 1.4480 0.0000
-1.0666 0.0000 4.7724
Cd Cu Ag
1 2 1
direct
0.0000 0.0000 0.0000
0.2493 0.2493 0.7384
0.7507 0.7507 0.2616
0.5000 0.5000 0.5000
```

## Properties
As for the energy: -2.8712 eV/atom. The formation enthalpy at 0 K comes out at 0.12 eV/atom. The crystal system is monoclinic. As for the total moment: 0.0 μB/f.u. As for the density of states at the Fermi level: 1.19 states/eV/cell. Its density is 9.08 g/cm3.



Below is CdCuAg2 after structural relaxation, with properties calculated at the PBE level.

Structure (POSCAR):
```
CdCuAg2
1.0
2.9702 0.0000 0.0000
0.0000 3.8966 0.0000
0.0000 0.0000 5.9711
Cd Cu Ag
1 1 2
direct
0.0000 0.0000 0.0000
0.5000 0.5000 0.2478
0.0000 0.0000 0.4729
0.5000 0.5000 0.7313
```

## Properties
As for the energy: -2.6329 eV/atom. The formation enthalpy at 0 K comes out at 0.05 eV/atom. The crystal system is orthorhombic. As for the total moment: 0.0 μB/f.u. As for the density of states at the Fermi level: 1.47 states/eV/cell. Its density is 9.41 g/cm3.



Below is Cd2CuAg6 after structural relaxation, with properties calculated at the PBE level.

Structure (POSCAR):
```
Cd2CuAg6
1.0
4.0025 -7.2890 0.0000
4.0025 7.2890 0.0000
0.0000 0.0000 2.8673
Cd Cu Ag
2 1 6
direct
0.1803 0.8197 0.0000
0.8197 0.1803 0.0000
0.5000 0.5000 0.5000
0.1649 0.4831 0.5000
0.1925 0.1925 0.0000
0.4831 0.1649 0.5000
0.5169 0.8351 0.5000
0.8075 0.8075 0.0000
0.8351 0.5169 0.5000
```

## Properties
As for the energy: -2.4884 eV/atom. The formation enthalpy at 0 K comes out at 0.07 eV/atom. The crystal system is orthorhombic. As for the total moment: 0.0 μB/f.u. The energy above the most stable polymorph in this dataset is 0.0 meV per atom. As for the density of states at the Fermi level: 2.88 states/eV/cell. Its density is 9.29 g/cm3.



Below is CdCu2Ag after structural relaxation, with properties calculated at the PBE level.

Structure (POSCAR):
```
CdCu2Ag
1.0
-1.5084 2.2710 4.5787
1.5084 -2.2710 4.5787
1.5084 2.2710 -4.5787
Cd Cu Ag
1 2 1
direct
0.0000 0.0000 0.0000
0.5279 0.5279 0.0000
0.7443 0.2443 0.5000
0.2761 0.7761 0.5000
```

## Properties
As for the energy: -2.9189 eV/atom. The formation enthalpy at 0 K comes out at 0.07 eV/atom. The crystal system is orthorhombic. As for the total moment: 0.0 μB/f.u. As for the density of states at the Fermi level: 0.98 states/eV/cell. Its density is 9.19 g/cm3.



Below is CdCu2Ag after structural relaxation, with properties calculated at the PBE level.

Structure (POSCAR):
```
CdCu2Ag
1.0
0.0000 3.1671 3.1671
3.1671 0.0000 3.1671
3.1671 3.1671 0.0000
Cd Cu Ag
1 2 1
direct
0.0000 0.0000 0.0000
0.2500 0.2500 0.2500
0.5000 0.5000 0.5000
0.7500 0.7500 0.7500
```

## Properties
As for the energy: -2.8720 eV/atom. The formation enthalpy at 0 K comes out at 0.12 eV/atom. The crystal system is cubic. As for the total moment: 0.0 μB/f.u. As for the density of states at the Fermi level: 1.52 states/eV/cell. Its density is 9.08 g/cm3.



> Look up the energy of the fourth one.

-2.6024 eV/atom



> The lowest energy belongs to which entry?

number 11